(1)
{
  "formula": "CuCI2",
  "functional": "PBE",
  "state": "relaxed",
  "energy_ev_per_atom": -2.215,
  "formation_energy_uncorrected_ev_per_atom": 1.890,
  "polymorph_energy_ev_per_atom": 0.556,
  "lattice": [[0.000, 3.501, 3.501], [3.501, 0.000, 3.501], [3.501, 3.501, 0.000]],
  "species": ["Cu", "C", "I", "I"],
  "fractional_positions": [[0.000, 0.000, 0.000], [0.500, 0.500, 0.500], [0.250, 0.250, 0.250], [0.750, 0.750, 0.750]]
}

***

(2)
{
  "formula": "TcAg2Cl",
  "functional": "PBE",
  "state": "relaxed",
  "energy_ev_per_atom": -4.135,
  "formation_energy_uncorrected_ev_per_atom": 0.344,
  "polymorph_energy_ev_per_atom": 0.106,
  "lattice": [[1.476, -2.547, 0.000], [1.476, 2.547, 0.000], [0.000, 0.000, 9.799]],
  "species": ["Tc", "Ag", "Ag", "Cl"],
  "fractional_positions": [[0.000, 0.000, 0.000], [0.000, 0.000, 0.504], [0.500, 0.500, 0.754], [0.500, 0.500, 0.191]]
}

***

(3)
{
  "formula": "IrPtC3",
  "functional": "PBE",
  "state": "relaxed",
  "energy_ev_per_atom": -5.795,
  "formation_energy_ev_per_atom": 2.72,
  "polymorph_energy_ev_per_atom": 0.513,
  "lattice": [[3.965, 0.000, 0.000], [0.000, 3.965, 0.000], [0.000, 0.000, 3.965]],
  "species": ["Ir", "Pt", "C", "C", "C"],
  "fractional_positions": [[0.000, 0.000, 0.000], [0.500, 0.500, 0.500], [0.000, 0.500, 0.500], [0.500, 0.000, 0.500], [0.500, 0.500, 0.000]]
}

***

(4)
{
  "formula": "Al2TePI",
  "functional": "PBE",
  "state": "relaxed",
  "energy_ev_per_atom": -2.425,
  "formation_energy_uncorrected_ev_per_atom": 1.093,
  "lattice": [[5.676, 0.000, 0.000], [0.000, 5.676, 0.000], [0.000, 0.000, 5.935]],
  "species": ["Al", "Al", "Te", "P", "I"],
  "fractional_positions": [[0.000, 0.500, 0.000], [0.500, 0.000, 0.000], [0.000, 0.000, 0.000], [0.500, 0.500, 0.500], [0.000, 0.000, 0.500]]
}

***

(5)
{
  "formula": "AlFeCo3",
  "functional": "PBE",
  "state": "relaxed",
  "energy_ev_per_atom": -5.753,
  "formation_energy_ev_per_atom": 0.95,
  "polymorph_energy_ev_per_atom": 0.000,
  "lattice": [[4.228, 0.000, 0.000], [0.000, 4.228, 0.000], [0.000, 0.000, 4.228]],
  "species": ["Al", "Fe", "Co", "Co", "Co"],
  "fractional_positions": [[0.000, 0.000, 0.000], [0.500, 0.500, 0.500], [0.000, 0.500, 0.500], [0.500, 0.000, 0.500], [0.500, 0.500, 0.000]]
}

***

(6)
{
  "formula": "Si2Ag",
  "functional": "PBE",
  "state": "relaxed",
  "energy_ev_per_atom": -4.245,
  "formation_energy_uncorrected_ev_per_atom": 0.321,
  "polymorph_energy_ev_per_atom": 0.006,
  "lattice": [[-1.389, 1.755, 5.691], [1.389, -1.755, 5.691], [1.389, 1.755, -5.691]],
  "species": ["Si", "Si", "Ag"],
  "fractional_positions": [[0.199, 0.199, 0.000], [0.801, 0.801, 0.000], [0.000, 0.500, 0.500]]
}

***

(7)
{
  "formula": "MnCu2AgSe4",
  "functional": "PBE",
  "state": "relaxed",
  "energy_ev_per_atom": -4.468,
  "formation_energy_uncorrected_ev_per_atom": -0.199,
  "lattice": [[-2.872, 2.872, 5.449], [2.872, -2.872, 5.449], [2.872, 2.872, -5.449]],
  "species": ["Mn", "Cu", "Cu", "Ag", "Se", "Se", "Se", "Se"],
  "fractional_positions": [[0.000, 0.000, 0.000], [0.250, 0.750, 0.500], [0.750, 0.250, 0.500], [0.500, 0.500, 0.000], [0.095, 0.095, 0.454], [0.360, 0.905, 0.000], [0.640, 0.640, 0.546], [0.905, 0.360, 0.000]]
}

***

(8)
{
  "formula": "AcHoTmSn",
  "functional": "PBE",
  "state": "relaxed",
  "energy_ev_per_atom": -4.420,
  "formation_energy_ev_per_atom": -0.13,
  "lattice": [[0.000, 3.902, 3.902], [3.902, 0.000, 3.902], [3.902, 3.902, 0.000]],
  "species": ["Ac", "Ho", "Tm", "Sn"],
  "fractional_positions": [[0.000, 0.000, 0.000], [0.250, 0.250, 0.250], [0.750, 0.750, 0.750], [0.500, 0.500, 0.500]]
}

***

(9)
{
  "formula": "TaTe2As",
  "functional": "PBE",
  "state": "relaxed",
  "energy_ev_per_atom": -5.532,
  "formation_energy_uncorrected_ev_per_atom": 0.164,
  "lattice": [[3.466, 0.000, 0.000], [0.000, 3.466, 0.000], [0.000, 0.000, 7.259]],
  "species": ["Ta", "Te", "Te", "As"],
  "fractional_positions": [[0.000, 0.000, 0.000], [0.500, 0.500, 0.227], [0.500, 0.500, 0.773], [0.000, 0.000, 0.500]]
}

***

(10)
{
  "formula": "LiHoSb2",
  "functional": "PBE",
  "state": "relaxed",
  "energy_ev_per_atom": -4.247,
  "formation_energy_uncorrected_ev_per_atom": -0.563,
  "polymorph_energy_ev_per_atom": 0.208,
  "lattice": [[2.399, 1.385, 5.105], [-2.399, 1.385, 5.105], [0.000, -2.771, 5.105]],
  "species": ["Li", "Ho", "Sb", "Sb"],
  "fractional_positions": [[0.000, 0.000, 0.000], [0.500, 0.500, 0.500], [0.258, 0.258, 0.258], [0.742, 0.742, 0.742]]
}

***

(11)
{
  "formula": "NaTaCd",
  "functional": "PBE",
  "state": "relaxed",
  "energy_ev_per_atom": -2.661,
  "formation_energy_ev_per_atom": 2.03,
  "polymorph_energy_ev_per_atom": 1.896,
  "lattice": [[4.646, 0.000, 0.000], [-2.323, 4.024, 0.000], [0.000, 0.000, 11.174]],
  "species": ["Na", "Na", "Ta", "Ta", "Cd", "Cd"],
  "fractional_positions": [[0.333, 0.667, 0.250], [0.667, 0.333, 0.750], [0.000, 0.000, 0.000], [0.000, 0.000, 0.500], [0.000, 0.000, 0.250], [0.000, 0.000, 0.750]]
}

***

(12)
{
  "formula": "Ac2PrAu",
  "functional": "PBE",
  "state": "relaxed",
  "energy_ev_per_atom": -4.115,
  "formation_energy_ev_per_atom": -0.05,
  "polymorph_energy_ev_per_atom": 0.332,
  "lattice": [[1.987, 1.147, 11.577], [-1.987, 1.147, 11.577], [0.000, -2.294, 11.577]],
  "species": ["Ac", "Ac", "Pr", "Au"],
  "fractional_positions": [[0.104, 0.104, 0.104], [0.896, 0.896, 0.896], [0.000, 0.000, 0.000], [0.500, 0.500, 0.500]]
}